MnZn2Br6 PBE-GGA relaxed; crystal system = monoclinic; magnetic moment = 10.00 Bohr magnetons per cell; calculated volume = 35.2 Å³ per atom; ΔE_f (raw) = -835 meV per atom; DOS(E_F) = 0.00 states/eV per atom
1.0
-5.5829 -3.5936 1.0040
-2.0378 -4.9747 -8.6959
2.7513 -8.6940 4.6221
Br Mn Zn
12 2 4
direct
0.7097 0.2165 0.3702
0.2097 0.3702 0.2165
0.6102 0.5747 0.2096
0.5793 0.0301 0.7807
0.3898 0.4253 0.7904
0.0793 0.7807 0.0301
0.8898 0.7904 0.4253
0.4207 0.9699 0.2193
0.7903 0.6298 0.7835
0.1102 0.2096 0.5747
0.2903 0.7835 0.6298
0.9207 0.2193 0.9699
0.2500 0.2259 0.7741
0.7500 0.7741 0.2259
0.6259 0.8102 0.6563
0.8741 0.3437 0.1898
0.3741 0.1898 0.3437
0.1259 0.6563 0.8102